Model w:
PBE BC2, optimized geometry; DOS at the Fermi energy = 1.90 states/eV/cell
1.0
4.642 0.000 0.000
0.000 2.566 0.000
-0.280 0.000 6.510
B C
4 8
direct
0.000 0.000 0.000
0.090 0.500 0.656
0.527 0.500 0.789
0.789 0.500 0.118
0.157 0.500 0.422
0.311 0.000 0.345
0.319 0.000 0.105
0.454 0.500 0.022
0.641 0.000 0.440
0.643 0.000 0.678
0.799 0.500 0.363
0.969 0.000 0.758

Model x:
PBE BC2, optimized geometry; DOS at the Fermi energy = 1.40 states/eV/cell
1.0
4.371 -1.259 0.000
4.371 1.259 0.000
-3.561 0.000 6.975
B C
4 8
direct
0.000 0.000 0.000
0.329 0.329 0.624
0.512 0.512 0.343
0.532 0.532 0.865
0.011 0.011 0.493
0.179 0.179 0.691
0.183 0.183 0.200
0.331 0.331 0.143
0.675 0.675 0.801
0.683 0.683 0.312
0.829 0.829 0.029
0.851 0.851 0.512

Least stable: model x

Model w:
PBE CeDy2, optimized geometry; DOS at the Fermi energy = 6.44 states/eV/cell
1.0
-1.759 1.759 7.457
1.759 -1.759 7.457
1.759 1.759 -7.457
Ce Dy
1 2
direct
0.000 0.000 0.000
0.337 0.337 0.000
0.663 0.663 0.000

Model x:
PBE CeDy2, optimized geometry; DOS at the Fermi energy = 24.11 states/eV/cell
1.0
0.000 4.663 4.663
4.663 0.000 4.663
4.663 4.663 0.000
Ce Dy
2 4
direct
0.125 0.125 0.125
0.875 0.875 0.875
0.000 0.500 0.500
0.500 0.000 0.500
0.500 0.500 0.000
0.500 0.500 0.500

Least stable: model x